TmHf2TiN4 | PBE | optimized geometry

abc: 3.2079 5.5606 5.5701
angles: 109.40 90.00 90.00
With the nearest neighbours (Å) after each atom.
Element x y z (fractional)
Tm 0.5000 0.5000 0.0000  6 N 2.32
N 0.0000 0.7603 0.2616  3 Hf 2.22-2.27, 1 Ti 2.28, 2 Tm 2.32
N 0.5000 0.2442 0.2546  3 Hf 2.22-2.27, 2 Ti 2.27, 1 Tm 2.32
N 0.0000 0.2397 0.7384  3 Hf 2.22-2.27, 1 Ti 2.28, 2 Tm 2.32
N 0.5000 0.7558 0.7454  3 Hf 2.22-2.27, 2 Ti 2.27, 1 Tm 2.32
Hf 0.0000 0.5000 0.5000  6 N 2.27
Hf 0.5000 0.0000 0.5000  6 N 2.22
Ti 0.0000 0.0000 0.0000  6 N 2.27-2.28

## Properties
total magnetization: 0.00 μB per formula unit
uncorrected formation energy: -1.739 eV per atom
space group: P2/m (10)